# 1
{"formula": "NdDy2Ag2", "functional": "PBE", "state": "relaxed", "cell": [[3.500, -3.492, 0.000], [3.500, 3.492, 0.000], [-3.363, 0.000, 5.838]], "species": ["Nd", "Dy", "Dy", "Ag", "Ag"], "fractional_positions": [[0.000, 0.000, 0.000], [0.250, 0.750, 0.500], [0.750, 0.250, 0.500], [0.381, 0.381, 0.775], [0.619, 0.619, 0.225]], "vol_a3_per_atom": 28.544, "magmom_total_mub_per_fu": 0.00, "formation_enthalpy_0k_ev_per_atom": -0.063, "polymorph_energy_kcal_per_mol_atoms": 3.62, "n_ef_per_ev_cell": 5.16}

# 2
{"formula": "Nd2DyAg", "functional": "PBE", "state": "relaxed", "cell": [[1.880, -6.239, 0.000], [1.880, 6.239, 0.000], [0.000, 0.000, 10.214]], "species": ["Nd", "Nd", "Nd", "Nd", "Dy", "Dy", "Ag", "Ag"], "fractional_positions": [[0.132, 0.868, 0.547], [0.132, 0.868, 0.953], [0.868, 0.132, 0.047], [0.868, 0.132, 0.453], [0.442, 0.558, 0.750], [0.558, 0.442, 0.250], [0.255, 0.745, 0.250], [0.745, 0.255, 0.750]], "vol_a3_per_atom": 29.947, "magmom_total_mub_per_fu": 0.00, "formation_enthalpy_0k_ev_per_atom": -0.112, "polymorph_energy_kcal_per_mol_atoms": 0.16, "n_ef_per_ev_cell": 10.42}

# 3
{"formula": "Nd3Dy2Ag3", "functional": "PBE", "state": "relaxed", "cell": [[-1.859, 2.710, 11.028], [1.859, -2.710, 11.028], [1.859, 2.710, -11.028]], "species": ["Nd", "Nd", "Nd", "Dy", "Dy", "Ag", "Ag", "Ag"], "fractional_positions": [[0.000, 0.000, 0.000], [0.378, 0.878, 0.500], [0.622, 0.122, 0.500], [0.232, 0.232, 0.000], [0.768, 0.768, 0.000], [0.121, 0.621, 0.500], [0.500, 0.500, 0.000], [0.879, 0.379, 0.500]], "vol_a3_per_atom": 27.781, "magmom_total_mub_per_fu": 0.00, "formation_enthalpy_0k_ev_per_atom": -0.191, "n_ef_per_ev_cell": 8.52}

# 4
{"formula": "Nd2DyAg", "functional": "PBE", "state": "relaxed", "cell": [[-2.610, 2.610, 8.760], [2.610, -2.610, 8.760], [2.610, 2.610, -8.760]], "species": ["Nd", "Nd", "Nd", "Nd", "Dy", "Dy", "Ag", "Ag"], "fractional_positions": [[0.000, 0.500, 0.500], [0.140, 0.140, 0.000], [0.500, 0.000, 0.500], [0.860, 0.860, 0.000], [0.351, 0.351, 0.000], [0.649, 0.649, 0.000], [0.250, 0.750, 0.500], [0.750, 0.250, 0.500]], "vol_a3_per_atom": 29.835, "magmom_total_mub_per_fu": 0.00, "formation_enthalpy_0k_ev_per_atom": -0.119, "polymorph_energy_kcal_per_mol_atoms": 0.00, "n_ef_per_ev_cell": 11.16}

# 5
{"formula": "NdDyAg4", "functional": "PBE", "state": "relaxed", "cell": [[2.681, -4.715, 0.000], [2.681, 4.715, 0.000], [-0.010, 0.000, 5.354]], "species": ["Nd", "Dy", "Ag", "Ag", "Ag", "Ag"], "fractional_positions": [[0.000, 0.000, 0.000], [0.500, 0.500, 0.500], [0.175, 0.825, 0.500], [0.331, 0.669, 0.000], [0.669, 0.331, 0.000], [0.825, 0.175, 0.500]], "vol_a3_per_atom": 22.559, "magmom_total_mub_per_fu": 0.00, "formation_enthalpy_0k_ev_per_atom": -0.275, "polymorph_energy_kcal_per_mol_atoms": 0.00, "n_ef_per_ev_cell": 2.99}

# 6
{"formula": "Nd3DyAg2", "functional": "PBE", "state": "relaxed", "cell": [[5.249, 0.000, 0.000], [0.000, 9.425, 0.000], [0.000, 0.000, 7.018]], "species": ["Nd", "Nd", "Nd", "Nd", "Nd", "Nd", "Dy", "Dy", "Ag", "Ag", "Ag", "Ag"], "fractional_positions": [[0.000, 0.061, 0.000], [0.000, 0.335, 0.347], [0.000, 0.665, 0.847], [0.000, 0.939, 0.500], [0.500, 0.171, 0.667], [0.500, 0.829, 0.167], [0.500, 0.440, 0.018], [0.500, 0.560, 0.518], [0.000, 0.349, 0.782], [0.000, 0.651, 0.282], [0.500, 0.157, 0.234], [0.500, 0.843, 0.734]], "vol_a3_per_atom": 28.934, "magmom_total_mub_per_fu": 0.00, "formation_enthalpy_0k_ev_per_atom": -0.156, "polymorph_energy_kcal_per_mol_atoms": 0.00, "n_ef_per_ev_cell": 13.66}